# CoTeSe2

A relaxed structure of CoTeSe2 (PBE, Alexandria via LeMat-Bulk).

Unit cell a=4.7845 b=4.7845 c=4.7845 alpha=60.00 beta=60.00 gamma=60.00
Last column: nearest neighbours and their distance in Å.
Positions (direct):
Co 0.0000 0.0000 0.0000  4 Se 2.93, 4 Te 2.93
Te 0.2500 0.2500 0.2500  4 Se 2.93, 4 Co 2.93
Se 0.5000 0.5000 0.5000  4 Se 2.93, 4 Te 2.93
Se 0.7500 0.7500 0.7500  4 Se 2.93, 4 Co 2.93

For the mass density, the calculation gives 7386 kg/m3. The symmetry is F-43m (216). As for the formation energy from raw total energies: 0.649 eV per atom. Its density of states at the Fermi level is 1.292 states/eV per atom. As for the raw total energy: -3.655 eV per atom. Its size of the total moment is 1.268 μB per formula unit.

=====

# Co3TeSe

A relaxed structure of Co3TeSe (PBE, Alexandria via LeMat-Bulk).

Unit cell a=4.7376 b=4.7376 c=4.7376 alpha=90.00 beta=90.00 gamma=90.00
Last column: nearest neighbours and their distance in Å.
Positions (direct):
Co 0.0000 0.0000 0.5000  2 Te 2.37
Co 0.0000 0.5000 0.0000  2 Te 2.37
Co 0.5000 0.0000 0.0000  2 Te 2.37
Te 0.0000 0.0000 0.0000  6 Co 2.37
Se 0.5000 0.5000 0.5000  12 Co 3.35

For the mass density, the calculation gives 5986 kg/m3. The symmetry is Pm-3m (221). The energy above the most stable polymorph in this dataset is 502 meV/atom. As for the formation energy from raw total energies: 1.126 eV per atom. Its density of states at the Fermi level is 2.448 states/eV per atom. As for the raw total energy: -4.463 eV per atom. Its size of the total moment is 5.232 μB per formula unit.

=====

# CoTe4Se

A relaxed structure of CoTe4Se (PBE, Alexandria via LeMat-Bulk).

Unit cell a=7.5903 b=6.3863 c=6.5660 alpha=90.00 beta=99.77 gamma=90.00
Last column: nearest neighbours and their distance in Å.
Positions (direct):
Co 0.0000 0.0000 0.0000  6 Te 2.56-2.62
Co 0.0000 0.5000 0.5000  6 Te 2.56-2.62
Te 0.0840 0.1415 0.6612  2 Co 2.56-2.58
Te 0.0840 0.3585 0.1612  2 Co 2.56-2.58
Te 0.3368 0.6103 0.5912  1 Co 2.62, 2 Se 2.85-2.89
Te 0.3368 0.8897 0.0912  1 Co 2.62, 2 Se 2.85-2.89
Te 0.6632 0.1103 0.9088  1 Co 2.62, 2 Se 2.85-2.89
Te 0.6632 0.3897 0.4088  1 Co 2.62, 2 Se 2.85-2.89
Te 0.9160 0.6415 0.8388  2 Co 2.56-2.58
Te 0.9160 0.8585 0.3388  2 Co 2.56-2.58
Se 0.5000 0.0000 0.5000  4 Te 2.85-2.89
Se 0.5000 0.5000 0.0000  4 Te 2.85-2.89

For the mass density, the calculation gives 6864 kg/m3. The symmetry is P2_1/c (14). The energy above the most stable polymorph in this dataset is 0 meV/atom. As for the formation energy from raw total energies: 0.028 eV per atom. Its density of states at the Fermi level is 0.708 states/eV per atom. As for the raw total energy: -3.832 eV per atom. Its size of the total moment is 0.000 μB per formula unit.

=====

# CoTeSe2

A relaxed structure of CoTeSe2 (PBE, Alexandria via LeMat-Bulk).

Unit cell a=6.5302 b=6.5302 c=6.5302 alpha=149.22 beta=137.19 gamma=53.65
Last column: nearest neighbours and their distance in Å.
Positions (direct):
Co 0.0000 0.0000 0.0000  4 Se 2.39
Te 0.5000 0.5000 0.0000  4 Se 2.89, 4 Co 2.95
Se 0.1408 0.6408 0.5000  2 Co 2.39
Se 0.8592 0.3592 0.5000  2 Co 2.39

For the mass density, the calculation gives 5940 kg/m3. The symmetry is Immm (71). As for the formation energy from raw total energies: 0.035 eV per atom. Its density of states at the Fermi level is 0.892 states/eV per atom. As for the raw total energy: -4.269 eV per atom. Its size of the total moment is 0.114 μB per formula unit.

=====

# CoTeSe2

A relaxed structure of CoTeSe2 (PBE, Alexandria via LeMat-Bulk).

Unit cell a=8.8638 b=8.8638 c=8.8638 alpha=21.99 beta=21.99 gamma=21.99
Last column: nearest neighbours and their distance in Å.
Positions (direct):
Co 0.0000 0.0000 0.0000  6 Se 2.36
Te 0.5000 0.5000 0.5000  6 Te 3.38, 6 Se 3.57
Se 0.2820 0.2820 0.2820  3 Co 2.36
Se 0.7180 0.7180 0.7180  3 Co 2.36

For the mass density, the calculation gives 6681 kg/m3. The symmetry is R-3m (166). As for the formation energy from raw total energies: -0.087 eV per atom. Its density of states at the Fermi level is 0.689 states/eV per atom. As for the raw total energy: -4.391 eV per atom. Its size of the total moment is 0.000 μB per formula unit.

=====

# CoTeSe2

A relaxed structure of CoTeSe2 (PBE, Alexandria via LeMat-Bulk).

Unit cell a=3.6782 b=5.1501 c=5.1501 alpha=58.07 beta=90.00 gamma=90.00
Last column: nearest neighbours and their distance in Å.
Positions (direct):
Co 0.0000 0.0000 0.0000  4 Se 2.38-2.51, 2 Te 2.54
Te 0.5000 0.8058 0.8058  2 Co 2.54, 2 Se 2.79
Se 0.0000 0.5222 0.5222  2 Co 2.51
Se 0.5000 0.1670 0.1670  2 Co 2.38

For the mass density, the calculation gives 6908 kg/m3. The symmetry is Amm2 (38). As for the formation energy from raw total energies: -0.033 eV per atom. Its density of states at the Fermi level is 0.933 states/eV per atom. As for the raw total energy: -4.337 eV per atom. Its size of the total moment is 0.008 μB per formula unit.

=====

> Which formula does entry 3 have?

CoTe4Se